Record 1
ReSiF3 (PBE-GGA, optimized geometry); N(E_F) = 0.192 states/eV per cell; formation energy without anion corrections = -0.25 eV per atom; excess energy over the best structure of this formula in the dataset = 0 meV/atom; size of the total moment = 6.0 Bohr magnetons per cell; SG = Pm-3m, No. 221
1.0
4.343 0.000 0.000
0.000 4.343 0.000
0.000 0.000 4.343
F Si Re
3 1 1
Direct
0.000 0.500 0.000 F
0.500 0.000 0.000 F
0.000 0.000 0.500 F
0.000 0.000 0.000 Si
0.500 0.500 0.500 Re

Record 2
AcNd2Bi (PBE-GGA, optimized geometry); N(E_F) = 2.866 states/eV per cell; excess energy over the best structure of this formula in the dataset = 176 meV/atom; size of the total moment = 0.0 Bohr magnetons per cell; energy relative to the elements = -0.2267 eV/atom; SG = Fm-3m, No. 225
1.0
5.749 0.000 0.000
2.875 4.979 0.000
2.875 1.660 4.694
Ac Nd Bi
1 2 1
Direct
0.000 0.000 0.000 Ac
0.250 0.250 0.250 Nd
0.750 0.750 0.750 Nd
0.500 0.500 0.500 Bi

Record 3
KZn3 (PBE-GGA, optimized geometry); N(E_F) = 1.921 states/eV per cell; excess energy over the best structure of this formula in the dataset = 299 meV/atom; size of the total moment = 0.0 Bohr magnetons per cell; energy relative to the elements = 0.2686 eV/atom; SG = Imm2, No. 44
1.0
6.450 0.071 0.023
3.027 5.697 -0.023
-3.632 -4.702 2.512
K Zn
1 3
Direct
0.082 0.000 0.082 K
0.376 0.792 0.584 Zn
0.793 0.208 0.584 Zn
0.582 0.500 0.082 Zn

Record 4
TbSmNpO6 (PBE-GGA, optimized geometry); formation energy without anion corrections = -3.18 eV per atom; size of the total moment = 2.0 Bohr magnetons per cell; SG = P-31c, No. 163
1.0
-4.655 -3.170 -1.343
5.308 -2.165 -0.808
-0.115 -3.601 8.896
O Tb Np Sm
12 2 2 2
Direct
0.362 0.027 0.135 O
0.638 0.665 0.635 O
0.665 0.638 0.135 O
0.335 0.362 0.865 O
0.027 0.362 0.635 O
0.973 0.638 0.365 O
0.665 0.027 0.365 O
0.973 0.335 0.135 O
0.362 0.335 0.365 O
0.638 0.973 0.865 O
0.335 0.973 0.635 O
0.027 0.665 0.865 O
0.667 0.333 0.750 Tb
0.333 0.667 0.250 Tb
0.333 0.667 0.750 Np
0.667 0.333 0.250 Np
0.000 0.000 0.500 Sm
0.000 0.000 0.000 Sm

Record 5
TcHSe2 (PBE-GGA, optimized geometry); N(E_F) = 0.450 states/eV per cell; excess energy over the best structure of this formula in the dataset = 206 meV/atom; size of the total moment = 2.0 Bohr magnetons per cell; SG = P3m1, No. 156
1.0
3.211 -1.854 0.000
0.000 3.707 0.000
0.000 0.000 6.304
Tc Se H
1 2 1
Direct
0.000 0.000 0.973 Tc
0.667 0.333 0.202 Se
0.333 0.667 0.760 Se
0.333 0.667 0.519 H

Record 6
ScOsRu2 (PBE-GGA, optimized geometry); N(E_F) = 3.202 states/eV per cell; excess energy over the best structure of this formula in the dataset = 27 meV/atom; size of the total moment = 0.0 Bohr magnetons per cell; energy relative to the elements = -0.0389 eV/atom; SG = P4/mmm, No. 123
1.0
-1.536 -1.212 -2.056
2.322 -0.196 -1.619
1.496 -6.964 2.987
Ru Sc Os
2 1 1
Direct
0.000 0.000 0.977 Ru
0.000 0.000 0.523 Ru
0.500 0.500 0.250 Sc
0.500 0.500 0.750 Os